(1)
Compound: KTmMn2Cl8
Source: Alexandria
Functional: PBE-GGA
Structure: optimized geometry

For the raw total energy, the calculation gives -4.789 eV per atom.

Lattice parameters (Å, degrees): 6.3939 6.3939 30.9198 90.00 90.00 120.00
Space group R32 (No. 155, hexagonal axes)
One atom of each set of equivalent atoms:
1 K 0.0000 0.0000 0.0000 x3
2 Tm 0.0000 0.0000 0.5000 x3
3 Mn 0.0000 0.0000 0.2467 x6
4 Cl 0.0000 0.0000 0.3201 x6
5 Cl 0.0105 0.3575 0.2214 x18

---

(2)
Compound: KMnV2Cl8
Source: Alexandria
Functional: PBE-GGA
Structure: optimized geometry

For the raw total energy, the calculation gives -4.823 eV per atom.

Lattice parameters (Å, degrees): 6.035 7.667 6.314 90.00 94.30 90.00
Space group P2/m (No. 10)
One atom of each set of equivalent atoms:
1 K 0.000 0.000 0.000 x1
2 Mn 0.000 0.500 0.000 x1
3 V 0.500 0.257 0.500 x2
4 Cl 0.257 0.283 0.178 x4
5 Cl 0.281 0.500 0.645 x2
6 Cl 0.299 0.000 0.629 x2

---

(3)
Compound: KMnVCl6
Source: Alexandria
Functional: PBE-GGA
Structure: optimized geometry

For the raw total energy, the calculation gives -4.745 eV per atom.

Lattice parameters (Å, degrees): 6.4424 6.4424 6.9790 90.00 90.00 120.00
Space group P312 (No. 149)
One atom of each set of equivalent atoms:
1 K 0.0000 0.0000 0.0000 x1
2 Mn 0.6667 0.3333 0.5000 x1
3 V 0.3333 0.6667 0.5000 x1
4 Cl 0.0142 0.3778 0.6983 x6

---

(4)
Compound: K2YMnCl
Source: Alexandria
Functional: PBE-GGA
Structure: optimized geometry

For the raw total energy, the calculation gives -3.363 eV per atom.

Lattice parameters (Å, degrees): 7.180 7.180 4.853 90.00 90.00 90.00
Space group P4/mmm (No. 123)
One atom of each set of equivalent atoms:
1 K 0.000 0.500 0.000 x2
2 Y 0.000 0.000 0.000 x1
3 Mn 0.000 0.000 0.500 x1
4 Cl 0.500 0.500 0.500 x1

---

(5)
Compound: KYMnCl6
Source: Alexandria
Functional: PBE-GGA
Structure: optimized geometry

For the raw total energy, the calculation gives -4.667 eV per atom.

Lattice parameters (Å, degrees): 6.4847 6.4847 14.2405 90.00 90.00 120.00
Space group P-31c (No. 163)
One atom of each set of equivalent atoms:
1 K 0.0000 0.0000 0.0000 x2
2 Y 0.3333 0.6667 0.2500 x2
3 Mn 0.3333 0.6667 0.7500 x2
4 Cl 0.0326 0.3804 0.6494 x12

---

(6)
Compound: KMn2ZnCl8
Source: Alexandria
Functional: PBE-GGA
Structure: optimized geometry

For the raw total energy, the calculation gives -4.100 eV per atom.

Lattice parameters (Å, degrees): 6.077 6.092 9.429 82.60 82.38 81.42
Space group P-1 (No. 2)
One atom of each set of equivalent atoms:
1 K 0.000 0.000 0.000 x1
2 Mn 0.461 0.462 0.685 x2
3 Zn 0.000 0.000 0.500 x1
4 Cl 0.173 0.778 0.695 x2
5 Cl 0.226 0.828 0.305 x2
6 Cl 0.310 0.314 0.491 x2
7 Cl 0.336 0.341 0.914 x2

---

(7)
Compound: KMnZnCl5
Source: Alexandria
Functional: PBE-GGA
Structure: optimized geometry

For the raw total energy, the calculation gives -3.934 eV per atom.

Lattice parameters (Å, degrees): 8.722 11.588 9.251 90.00 112.76 90.00
Space group C2/c (No. 15)
One atom of each set of equivalent atoms:
1 K 0.000 0.160 0.250 x4
2 Mn 0.000 0.500 0.000 x4
3 Zn 0.000 0.186 0.750 x4
4 Cl 0.000 0.431 0.250 x4
5 Cl 0.110 0.297 0.608 x8
6 Cl 0.190 0.067 0.932 x8

---

(8)
Compound: KZr6MnCl14
Source: Alexandria
Functional: PBE-GGA
Structure: optimized geometry

For the raw total energy, the calculation gives -5.630 eV per atom.

Lattice parameters (Å, degrees): 14.780 13.379 11.872 90.00 90.00 90.00
Space group Cmce (No. 64)
One atom of each set of equivalent atoms:
1 K 0.000 0.000 0.000 x4
2 Zr 0.000 0.148 0.386 x8
3 Zr 0.119 0.073 0.619 x16
4 Mn 0.000 0.000 0.500 x4
5 Cl 0.000 0.156 0.761 x8
6 Cl 0.120 0.081 0.247 x16
7 Cl 0.121 0.238 0.506 x16
8 Cl 0.249 0.000 0.500 x8
9 Cl 0.250 0.150 0.750 x8

---

(9)
Compound: K2MoCl
Source: Alexandria
Functional: PBE-GGA
Structure: optimized geometry

The value obtained for the energy above the most stable polymorph in this dataset is 178 meV/atom. For the raw total energy, the calculation gives -3.320 eV per atom.

Lattice parameters (Å, degrees): 6.012 6.012 3.898 90.00 90.00 90.00
Space group P4/mmm (No. 123)
One atom of each set of equivalent atoms:
1 K 0.000 0.500 0.000 x2
2 Mo 0.000 0.000 0.500 x1
3 Cl 0.500 0.500 0.500 x1

---

(10)
Compound: K2MoCl
Source: Alexandria
Functional: PBE-GGA
Structure: optimized geometry

The value obtained for the energy above the most stable polymorph in this dataset is 59 meV/atom. For the raw total energy, the calculation gives -3.439 eV per atom.

Lattice parameters (Å, degrees): 3.758 3.901 19.737 90.00 90.00 90.00
Space group Imm2 (No. 44)
One atom of each set of equivalent atoms:
1 K 0.000 0.000 0.000 x2
2 K 0.000 0.500 0.204 x2
3 Mo 0.000 0.500 0.838 x2
4 Cl 0.000 0.000 0.578 x2

---

(11)
Compound: KMoCl2
Source: Alexandria
Functional: PBE-GGA
Structure: optimized geometry

The value obtained for the energy above the most stable polymorph in this dataset is 266 meV/atom. For the raw total energy, the calculation gives -4.067 eV per atom.

Lattice parameters (Å, degrees): 5.882 5.882 13.367 90.00 90.00 90.00
Space group I-42d (No. 122)
One atom of each set of equivalent atoms:
1 K 0.000 0.000 0.000 x4
2 Mo 0.000 0.000 0.500 x4
3 Cl 0.140 0.250 0.625 x8

---

(12)
Compound: K2MoCl
Source: Alexandria
Functional: PBE-GGA
Structure: optimized geometry

The value obtained for the energy above the most stable polymorph in this dataset is 62 meV/atom. For the raw total energy, the calculation gives -3.436 eV per atom.

Lattice parameters (Å, degrees): 3.833 3.841 9.871 90.00 90.00 90.00
Space group Pmm2 (No. 25)
One atom of each set of equivalent atoms:
1 K 0.000 0.000 0.000 x1
2 K 0.500 0.000 0.406 x1
3 Mo 0.000 0.500 0.673 x1
4 Cl 0.500 0.500 0.156 x1